[1]
# TmZn2Cu2, optimized geometry, DFT GGA-PBE
data_TmZn2Cu2
_cell_length_a 3.930
_cell_length_b 3.930
_cell_length_c 21.737
_cell_angle_alpha 90.00
_cell_angle_beta 90.00
_cell_angle_gamma 90.00
_space_group_name_H-M_alt 'I 4/m m m'
_space_group_IT_number 139
_space_group_name_Hall '-I 4 2'
loop_
_atom_site_label
_atom_site_type_symbol
_atom_site_fract_x
_atom_site_fract_y
_atom_site_fract_z
_atom_site_occupancy
Tm1 Tm 0.000 0.000 0.127 1
Zn1 Zn 0.000 0.000 0.318 1
Zn2 Zn 0.000 0.500 0.000 1
Cu1 Cu 0.000 0.000 0.429 1
Cu2 Cu 0.000 0.500 0.250 1
# - Energy relative to the lowest polymorph listed for this composition: 7 meV/atom
# - Energy relative to the elements: -0.226 eV/atom
# - DOS(E_F): 2.73 states/eV/f.u.


[2]
# TmZn2Cu5, optimized geometry, DFT GGA-PBE
data_TmZn2Cu5
_cell_length_a 3.610
_cell_length_b 6.730
_cell_length_c 10.068
_cell_angle_alpha 90.00
_cell_angle_beta 90.00
_cell_angle_gamma 90.00
_space_group_name_H-M_alt 'I m m m'
_space_group_IT_number 71
_space_group_name_Hall '-I 2 2'
loop_
_atom_site_label
_atom_site_type_symbol
_atom_site_fract_x
_atom_site_fract_y
_atom_site_fract_z
_atom_site_occupancy
Tm1 Tm 0.000 0.000 0.000 1
Zn1 Zn 0.000 0.500 0.251 1
Cu1 Cu 0.000 0.191 0.375 1
Cu2 Cu 0.000 0.500 0.000 1
# - Energy relative to the elements: -0.091 eV/atom
# - DOS(E_F): 2.98 states/eV/f.u.


[3]
# TmZnCu3, optimized geometry, DFT GGA-PBE
data_TmZnCu3
_cell_length_a 3.771
_cell_length_b 3.771
_cell_length_c 11.360
_cell_angle_alpha 90.00
_cell_angle_beta 90.00
_cell_angle_gamma 90.00
_space_group_name_H-M_alt 'I 4 m m'
_space_group_IT_number 107
_space_group_name_Hall 'I 4 -2'
loop_
_atom_site_label
_atom_site_type_symbol
_atom_site_fract_x
_atom_site_fract_y
_atom_site_fract_z
_atom_site_occupancy
Tm1 Tm 0.000 0.000 0.000 1
Zn1 Zn 0.000 0.000 0.622 1
Cu1 Cu 0.000 0.000 0.406 1
Cu2 Cu 0.000 0.500 0.265 1
# - Energy relative to the lowest polymorph listed for this composition: 0 meV/atom
# - Energy relative to the elements: -0.165 eV/atom
# - DOS(E_F): 2.46 states/eV/f.u.